1.
## ScNi2Te (PBE)

Data for a geometry-optimized ScNi2Te structure.

Unit cell a=4.2601 b=4.2601 c=5.1839 alpha=70.84 beta=70.84 gamma=53.19
Closest atoms and distances in Å follow each position.
Element x y z (fractional)
Ni 0.7274 0.7274 0.8407  3 Ni 2.43-2.46, 2 Te 2.63
Ni 0.0154 0.0154 0.9486  3 Ni 2.43-2.46, 3 Te 2.59
Sc 0.4822 0.4822 0.5510  5 Ni 2.74-2.89, 4 Te 2.97-3.07
Te 0.2750 0.2750 0.1597  5 Ni 2.59-2.63

The value obtained for the raw formation energy is -0.330 eV per atom.

---

2.
## Mg2CoNi (PBE)

Data for a geometry-optimized Mg2CoNi structure.

Unit cell a=6.8397 b=6.8397 c=5.5219 alpha=51.73 beta=51.73 gamma=90.00
Closest atoms and distances in Å follow each position.
Element x y z (fractional)
Co 0.5000 0.5000 0.0000  4 Mg 2.55, 2 Ni 2.66
Co 0.2500 0.7500 0.5000  4 Mg 2.55, 2 Ni 2.66
Mg 0.1172 0.6250 0.2500  2 Ni 2.47, 2 Co 2.55, 2 Mg 2.67
Mg 0.3750 0.3672 0.7500  2 Ni 2.47, 2 Co 2.55, 2 Mg 2.67
Mg 0.6328 0.1250 0.2500  2 Ni 2.47, 2 Co 2.55, 2 Mg 2.67
Mg 0.8750 0.8828 0.7500  2 Ni 2.47, 2 Co 2.55, 2 Mg 2.67
Ni 0.7500 0.2500 0.5000  4 Mg 2.47, 2 Co 2.66
Ni 0.0000 0.0000 0.0000  4 Mg 2.47, 2 Co 2.66

The calculation puts the relative energy among the computed polymorphs at 1.61 eV per formula unit. For the formation enthalpy at 0 K, the calculation gives 1.69 eV/f.u.

---

3.
## ThPN3 (PBE)

Data for a geometry-optimized ThPN3 structure.

Unit cell a=4.4157 b=6.3007 c=6.3007 alpha=50.09 beta=69.49 gamma=69.49
Closest atoms and distances in Å follow each position.
Element x y z (fractional)
P 0.7500 0.1727 0.3273  3 N 1.60-1.65
P 0.2500 0.8273 0.6727  3 N 1.60-1.65
N 0.3888 0.5641 0.6583  1 P 1.60
N 0.2500 0.1357 0.3643  1 P 1.65
N 0.7500 0.8643 0.6357  1 P 1.65
N 0.6112 0.4359 0.3417  1 P 1.60
N 0.1112 0.8417 0.9359  1 P 1.60
N 0.8888 0.1583 0.0641  1 P 1.60
Th 0.0000 0.5000 0.5000  8 N 2.51-2.70
Th 0.5000 0.0000 0.0000  8 N 2.51-2.70

The value obtained for the raw formation energy is -0.733 eV per atom.

---

4.
## Tl2Sn2Au (PBE)

Data for a geometry-optimized Tl2Sn2Au structure.

Unit cell a=7.5744 b=7.5744 c=4.9174 alpha=90.00 beta=90.00 gamma=90.00
Closest atoms and distances in Å follow each position.
Element x y z (fractional)
Sn 0.3474 0.1526 0.5000  6 Tl 3.22-3.38, 1 Sn 3.27
Sn 0.1526 0.6526 0.5000  6 Tl 3.22-3.38, 1 Sn 3.27
Sn 0.6526 0.8474 0.5000  6 Tl 3.22-3.38, 1 Sn 3.27
Sn 0.8474 0.3474 0.5000  6 Tl 3.22-3.38, 1 Sn 3.27
Tl 0.6529 0.1529 0.0000  2 Au 2.87
Tl 0.1529 0.3471 0.0000  2 Au 2.87
Tl 0.3471 0.8471 0.0000  2 Au 2.87
Tl 0.8471 0.6529 0.0000  2 Au 2.87
Au 0.0000 0.0000 0.0000  4 Tl 2.87
Au 0.5000 0.5000 0.0000  4 Tl 2.87

The calculation puts the relative energy among the computed polymorphs at 1.08 eV per formula unit. For the formation enthalpy at 0 K, the calculation gives 0.90 eV/f.u.

---

5.
## BaZnReO6 (PBE)

Data for a geometry-optimized BaZnReO6 structure.

Unit cell a=5.3398 b=5.5400 c=5.5971 alpha=92.91 beta=91.54 gamma=58.76
Closest atoms and distances in Å follow each position.
Element x y z (fractional)
O 0.0113 0.3987 0.3046  1 Re 1.96, 1 Zn 1.98
O 0.3773 0.0222 0.6729  1 Re 1.92, 1 Zn 1.98
O 0.0117 0.5891 0.6959  1 Re 1.96, 1 Zn 1.98
O 0.3758 0.6016 0.3272  1 Re 1.92, 1 Zn 1.98
O 0.5826 0.0453 0.2780  1 Re 1.83
O 0.5824 0.3729 0.7216  1 Re 1.83
Re 0.3533 0.3233 0.4997  6 O 1.83-1.96
Zn 0.6664 0.6663 0.5005  4 O 1.98
Ba 0.0389 0.9807 0.9994  6 O 2.70-2.78

The value obtained for the raw formation energy is -1.706 eV per atom.

---

6.
## ZrOs3N (PBE)

Data for a geometry-optimized ZrOs3N structure.

Unit cell a=4.1285 b=4.1285 c=4.1285 alpha=90.00 beta=90.00 gamma=90.00
Closest atoms and distances in Å follow each position.
Element x y z (fractional)
Os 0.0000 0.0000 0.5000  2 N 2.06
Os 0.0000 0.5000 0.0000  2 N 2.06
Os 0.5000 0.0000 0.0000  2 N 2.06
Zr 0.5000 0.5000 0.5000  12 Os 2.92
N 0.0000 0.0000 0.0000  6 Os 2.06

The calculation puts the relative energy among the computed polymorphs at 0.00 eV per formula unit. The value obtained for the raw formation energy is 0.143 eV per atom.

---

7.
## BaScTa (PBE)

Data for a geometry-optimized BaScTa structure.

Unit cell a=5.0132 b=5.0132 c=5.0132 alpha=60.00 beta=60.00 gamma=60.00
Closest atoms and distances in Å follow each position.
Element x y z (fractional)
Sc 0.0000 0.0000 0.0000  4 Ba 3.07
Ba 0.7500 0.7500 0.7500  4 Ta 3.07, 4 Sc 3.07
Ta 0.5000 0.5000 0.5000  4 Ba 3.07

The calculation puts the relative energy among the computed polymorphs at 3.81 eV per formula unit. For the formation enthalpy at 0 K, the calculation gives 5.60 eV/f.u.

---

8.
## RbMg6GaO8 (PBE)

Data for a geometry-optimized RbMg6GaO8 structure.

Unit cell a=4.6471 b=4.6471 c=8.4830 alpha=90.00 beta=90.00 gamma=90.00
Closest atoms and distances in Å follow each position.
Element x y z (fractional)
O 0.5000 0.5000 0.2532  6 Mg 2.09-2.32
O 0.5000 0.0000 0.5000  4 Mg 2.14-2.32, 2 Ga 2.32
O 0.5000 0.0000 0.0000  4 Mg 2.10-2.32, 2 Rb 2.32
O 0.0000 0.0000 0.2890  1 Ga 1.79
O 0.5000 0.5000 0.7468  6 Mg 2.09-2.32
O 0.0000 0.5000 0.5000  4 Mg 2.14-2.32, 2 Ga 2.32
O 0.0000 0.0000 0.7110  1 Ga 1.79
O 0.0000 0.5000 0.0000  4 Mg 2.10-2.32, 2 Rb 2.32
Mg 0.0000 0.5000 0.7520  6 O 2.10-2.35
Mg 0.0000 0.5000 0.2480  6 O 2.10-2.35
Mg 0.5000 0.5000 0.5000  6 O 2.09-2.32
Mg 0.5000 0.5000 0.0000  6 O 2.15-2.32
Mg 0.5000 0.0000 0.7520  6 O 2.10-2.35
Mg 0.5000 0.0000 0.2480  6 O 2.10-2.35
Rb 0.0000 0.0000 0.0000  6 O 2.32-2.45
Ga 0.0000 0.0000 0.5000  2 O 1.79

The calculation puts the relative energy among the computed polymorphs at 0.00 eV per formula unit. The value obtained for the raw formation energy is -2.061 eV per atom.

---

9.
## Be2Ir2Cl (PBE)

Data for a geometry-optimized Be2Ir2Cl structure.

Unit cell a=3.8171 b=3.8171 c=5.6583 alpha=70.29 beta=70.29 gamma=90.00
Closest atoms and distances in Å follow each position.
Element x y z (fractional)
Ir 0.3687 0.3687 0.2626  4 Be 2.24
Ir 0.6313 0.6313 0.7373  4 Be 2.24
Be 0.2500 0.7500 0.5000  4 Ir 2.24
Be 0.7500 0.2500 0.5000  4 Ir 2.24
Cl 0.0000 0.0000 0.0000  8 Ir 3.00, 8 Be 3.13

The calculation puts the relative energy among the computed polymorphs at 1.55 eV per formula unit. The value obtained for the raw formation energy is 0.465 eV per atom.

---

10.
## La8Sb2Se15 (PBE)

Data for a geometry-optimized La8Sb2Se15 structure.

Unit cell a=15.7512 b=15.7512 c=15.7512 alpha=96.69 beta=116.22 gamma=116.22
Closest atoms and distances in Å follow each position.
Element x y z (fractional)
Se 0.1454 0.9725 0.7727  4 La 2.98-3.09
Se 0.5920 0.4674 0.3801  5 La 3.10-3.16, 1 Sb 3.28, 1 Se 3.44
Se 0.9080 0.1254 0.5381  5 La 3.10-3.16, 1 Sb 3.28, 1 Se 3.44
Se 0.3910 0.4764 0.1584  1 Sb 2.64
Se 0.6090 0.7674 0.0854  1 Sb 2.64
Se 0.0000 0.0006 0.0006  4 La 2.91-2.92
Se 0.1821 0.9084 0.0174  1 Sb 2.64
Se 0.4904 0.0507 0.8742  5 La 3.12-3.16
Se 0.1468 0.6816 0.8779  4 La 3.00-3.10
Se 0.8235 0.8838 0.3742  5 La 3.12-3.16
Se 0.8324 0.4490 0.9600  1 Sb 2.68
Se 0.3532 0.7848 0.4811  4 La 3.00-3.10
Se 0.0873 0.9674 0.3754  5 La 3.10-3.16, 1 Sb 3.28, 1 Se 3.44
Se 0.8910 0.4084 0.2264  1 Sb 2.64
Se 0.6468 0.1279 0.4316  4 La 3.00-3.10
Se 0.0920 0.6301 0.2174  5 La 3.10-3.16, 1 Sb 3.28, 1 Se 3.44
Se 0.3179 0.9764 0.5854  1 Sb 2.64
Se 0.3886 0.4196 0.7257  1 Sb 2.66
Se 0.5000 0.7506 0.2506  4 La 2.91-2.92
Se 0.1938 0.7810 0.6696  1 Sb 2.66
Se 0.8062 0.4757 0.5871  1 Sb 2.66
Se 0.0000 0.5006 0.5006  4 La 2.91-2.92
Se 0.0096 0.8103 0.1338  5 La 3.12-3.16
Se 0.8886 0.9757 0.1696  1 Sb 2.66
Se 0.4080 0.7881 0.8754  5 La 3.10-3.16, 1 Sb 3.28, 1 Se 3.44
Se 0.6765 0.3103 0.3007  5 La 3.12-3.16
Se 0.4127 0.1301 0.0381  5 La 3.10-3.16, 1 Sb 3.28, 1 Se 3.44
Se 0.9891 0.3666 0.6990  1 Sb 2.68
Se 0.6821 0.2674 0.6584  1 Sb 2.64
Se 0.9904 0.1242 0.8007  5 La 3.12-3.16
Se 0.6999 0.5771 0.2225  4 La 2.98-3.09
Se 0.3546 0.0771 0.3772  4 La 2.98-3.09
Se 0.1963 0.2311 0.3779  4 La 3.00-3.10
Se 0.5000 0.2506 0.7506  4 La 2.91-2.92
Se 0.0109 0.7100 0.3775  1 Sb 2.68
Se 0.5096 0.3838 0.5603  5 La 3.12-3.16
Se 0.8532 0.7311 0.5348  4 La 3.00-3.10
Se 0.8001 0.1272 0.2727  4 La 2.98-3.09
Se 0.1090 0.3354 0.5174  1 Sb 2.64
Se 0.1765 0.5507 0.0603  5 La 3.12-3.16
Se 0.5873 0.6254 0.7174  5 La 3.10-3.16, 1 Sb 3.28, 1 Se 3.44
Se 0.1114 0.2810 0.0871  1 Sb 2.66
Se 0.3001 0.5227 0.8772  4 La 2.98-3.09
Se 0.3062 0.8371 0.2257  1 Sb 2.66
Se 0.8037 0.1816 0.0348  4 La 3.00-3.10
Se 0.4891 0.9490 0.1166  1 Sb 2.68
Se 0.9127 0.2881 0.8801  5 La 3.10-3.16, 1 Sb 3.28, 1 Se 3.44
Se 0.3037 0.2848 0.9316  4 La 3.00-3.10
Se 0.8179 0.8354 0.7264  1 Sb 2.64
Se 0.3235 0.6242 0.6338  5 La 3.12-3.16
Se 0.6454 0.0227 0.7225  4 La 2.98-3.09
Se 0.6114 0.3371 0.0310  1 Sb 2.66
Se 0.5109 0.6275 0.4600  1 Sb 2.68
Se 0.1676 0.1275 0.6166  1 Sb 2.68
Se 0.3324 0.2100 0.1990  1 Sb 2.68
Se 0.6938 0.9196 0.5310  1 Sb 2.66
Se 0.6676 0.8666 0.8775  1 Sb 2.68
Se 0.1999 0.4725 0.3271  4 La 2.98-3.09
Se 0.8546 0.6272 0.8271  4 La 2.98-3.09
Se 0.6963 0.6279 0.9811  4 La 3.00-3.10
La 0.9946 0.1020 0.3959  8 Se 3.05-3.16
La 0.2939 0.9013 0.8959  8 Se 3.05-3.16
La 0.2061 0.8574 0.3520  8 Se 3.05-3.16
La 0.9305 0.9584 0.6129  7 Se 3.08-3.27
La 0.3288 0.6670 0.2984  7 Se 2.91-3.25
La 0.3686 0.1670 0.8382  7 Se 2.91-3.25
La 0.7061 0.6020 0.6074  8 Se 3.05-3.16
La 0.1739 0.0909 0.9560  7 Se 2.92-3.19
La 0.8651 0.2821 0.4560  7 Se 2.92-3.19
La 0.8686 0.0882 0.9170  7 Se 2.91-3.25
La 0.8288 0.5484 0.4170  7 Se 2.91-3.25
La 0.0695 0.6824 0.0279  7 Se 3.08-3.27
La 0.8261 0.7821 0.9170  7 Se 2.92-3.19
La 0.4305 0.8629 0.7084  7 Se 3.08-3.27
La 0.1349 0.5909 0.4170  7 Se 2.92-3.19
La 0.6712 0.9697 0.3382  7 Se 2.91-3.25
La 0.4946 0.6459 0.8520  8 Se 3.05-3.16
La 0.1545 0.3629 0.9324  7 Se 3.08-3.27
La 0.3651 0.7060 0.0321  7 Se 2.92-3.19
La 0.3455 0.4584 0.5279  7 Se 3.08-3.27
La 0.5695 0.2779 0.4324  7 Se 3.08-3.27
La 0.6545 0.1824 0.1129  7 Se 3.08-3.27
La 0.7939 0.1459 0.6513  8 Se 3.05-3.16
La 0.3261 0.1670 0.5321  7 Se 2.92-3.19
La 0.8455 0.7779 0.2084  7 Se 3.08-3.27
La 0.6349 0.6670 0.3409  7 Se 2.92-3.19
La 0.6739 0.2060 0.8409  7 Se 2.92-3.19
La 0.1314 0.0484 0.2197  7 Se 2.91-3.25
La 0.0054 0.4013 0.1074  8 Se 3.05-3.16
La 0.1712 0.5882 0.7197  7 Se 2.91-3.25
La 0.6314 0.4697 0.7984  7 Se 2.91-3.25
La 0.5054 0.3574 0.1513  8 Se 3.05-3.16
Sb 0.8870 0.4366 0.7548  3 Se 2.64-2.68
Sb 0.8182 0.5048 0.1178  3 Se 2.64-2.68
Sb 0.6130 0.7996 0.6178  3 Se 2.64-2.68
Sb 0.3870 0.0048 0.1866  3 Se 2.64-2.68
Sb 0.1130 0.8678 0.5496  3 Se 2.64-2.68
Sb 0.1818 0.2996 0.6866  3 Se 2.64-2.68
Sb 0.3182 0.3678 0.2548  3 Se 2.64-2.68
Sb 0.6818 0.9366 0.0496  3 Se 2.64-2.68

The value obtained for the raw formation energy is -1.686 eV per atom.